Arrangement w

A plane-wave DFT calculation with GGA-PBEsol was carried out for a relaxed structure of CoCuRu2.

a = 8.4747 Å, b = 8.4747 Å, c = 8.4747 Å
α = 17.74°, β = 17.74°, γ = 17.74°
Element x y z (fractional)
1 Co 0.0000 0.0000 0.0000
2 Cu 0.7467 0.7467 0.7467
3 Ru 0.2520 0.2520 0.2520
4 Ru 0.5004 0.5004 0.5004

* SG: R3m, No. 160
* D(E_F): 1.2040 states/eV per atom

=====

Arrangement x

A plane-wave DFT calculation with GGA-PBEsol was carried out for a relaxed structure of CoCuRu2.

a = 4.0963 Å, b = 4.0963 Å, c = 4.0963 Å
α = 60.00°, β = 60.00°, γ = 60.00°
Element x y z (fractional)
1 Co 0.0000 0.0000 0.0000
2 Cu 0.5000 0.5000 0.5000
3 Ru 0.2500 0.2500 0.2500
4 Ru 0.7500 0.7500 0.7500

* SG: Fm-3m, No. 225
* D(E_F): 1.4023 states/eV per atom

=====

Arrangement y

A plane-wave DFT calculation with GGA-PBEsol was carried out for a relaxed structure of CoCuRu2.

a = 2.5680 Å, b = 2.5680 Å, c = 7.3438 Å
α = 90.00°, β = 90.00°, γ = 90.00°
Element x y z (fractional)
1 Co 0.0000 0.0000 0.0000
2 Cu 0.0000 0.0000 0.5000
3 Ru 0.5000 0.5000 0.2391
4 Ru 0.5000 0.5000 0.7609

* SG: P4/mmm, No. 123
* D(E_F): 1.1262 states/eV per atom

=====

Of them, arrangement x has the lowest stability.

=====

Arrangement w

A plane-wave DFT calculation with GGA-PBEsol was carried out for a relaxed structure of Sc2CoCu.

a = 4.4409 Å, b = 4.4409 Å, c = 4.4409 Å
α = 60.00°, β = 60.00°, γ = 60.00°
Element x y z (fractional)
1 Sc 0.2500 0.2500 0.2500
2 Sc 0.7500 0.7500 0.7500
3 Co 0.0000 0.0000 0.0000
4 Cu 0.5000 0.5000 0.5000

* SG: Fm-3m, No. 225
* D(E_F): 0.7204 states/eV per atom

=====

Arrangement x

A plane-wave DFT calculation with GGA-PBEsol was carried out for a relaxed structure of Sc2CoCu.

a = 5.0899 Å, b = 5.0899 Å, c = 4.5169 Å
α = 105.02°, β = 105.02°, γ = 33.86°
Element x y z (fractional)
1 Sc 0.0000 0.0000 0.0000
2 Sc 0.2083 0.2083 0.6311
3 Co 0.4651 0.4651 0.4882
4 Cu 0.7615 0.7615 0.1793

* SG: Cm, No. 8
* D(E_F): 0.7659 states/eV per atom

=====

Of them, arrangement x has the lowest stability.

=====

Arrangement w

A plane-wave DFT calculation with GGA-PBEsol was carried out for a relaxed structure of Sc2CoCu.

a = 4.4449 Å, b = 4.4449 Å, c = 3.1323 Å
α = 90.00°, β = 90.00°, γ = 90.00°
Element x y z (fractional)
1 Sc 0.0000 0.5000 0.0000
2 Sc 0.5000 0.0000 0.0000
3 Co 0.0000 0.0000 0.5000
4 Cu 0.5000 0.5000 0.5000

* SG: P4/mmm, No. 123
* D(E_F): 0.6879 states/eV per atom

=====

Arrangement x

A plane-wave DFT calculation with GGA-PBEsol was carried out for a relaxed structure of Sc2CoCu.

a = 5.0915 Å, b = 5.0915 Å, c = 5.0915 Å
α = 136.47°, β = 136.47°, γ = 63.25°
Element x y z (fractional)
1 Sc 0.0000 0.0000 0.0000
2 Sc 0.7500 0.2500 0.5000
3 Co 0.5000 0.5000 0.0000
4 Cu 0.2500 0.7500 0.5000

* SG: I-4m2, No. 119
* D(E_F): 0.9495 states/eV per atom

=====

Of them, arrangement x has the lowest stability.

=====

Arrangement w

A plane-wave DFT calculation with GGA-PBEsol was carried out for a relaxed structure of Co2CuW.

a = 4.0662 Å, b = 4.0662 Å, c = 4.0662 Å
α = 60.00°, β = 60.00°, γ = 60.00°
Element x y z (fractional)
1 Co 0.0000 0.0000 0.0000
2 Co 0.2500 0.2500 0.2500
3 Cu 0.5000 0.5000 0.5000
4 W 0.7500 0.7500 0.7500

* SG: F-43m, No. 216
* D(E_F): 1.3837 states/eV per atom

=====

Arrangement x

A plane-wave DFT calculation with GGA-PBEsol was carried out for a relaxed structure of Co2CuW.

a = 2.5870 Å, b = 2.5870 Å, c = 7.1428 Å
α = 90.00°, β = 90.00°, γ = 90.00°
Element x y z (fractional)
1 Co 0.0000 0.0000 0.0000
2 Co 0.5000 0.5000 0.2122
3 Cu 0.5000 0.5000 0.7588
4 W 0.0000 0.0000 0.4815

* SG: P4mm, No. 99
* D(E_F): 0.9105 states/eV per atom

=====

Of them, arrangement w has the lowest stability.

=====

Arrangement w

A plane-wave DFT calculation with GGA-PBEsol was carried out for a relaxed structure of CoGeN2F.

a = 3.7510 Å, b = 3.7510 Å, c = 3.7257 Å
α = 90.00°, β = 90.00°, γ = 90.00°
Element x y z (fractional)
1 Co 0.0000 0.0000 0.0000
2 Ge 0.5000 0.5000 0.5000
3 N 0.0000 0.5000 0.5000
4 N 0.5000 0.0000 0.5000
5 F 0.5000 0.5000 0.0000

* SG: P4/mmm, No. 123
* D(E_F): 1.1219 states/eV per atom

=====

Arrangement x

A plane-wave DFT calculation with GGA-PBEsol was carried out for a relaxed structure of CoGeN2F.

a = 3.6491 Å, b = 3.6491 Å, c = 3.9485 Å
α = 90.00°, β = 90.00°, γ = 90.00°
Element x y z (fractional)
1 Co 0.0000 0.0000 0.0000
2 Ge 0.5000 0.5000 0.5000
3 N 0.0000 0.5000 0.0000
4 N 0.5000 0.0000 0.0000
5 F 0.0000 0.0000 0.5000

* SG: P4/mmm, No. 123
* D(E_F): 0.8452 states/eV per atom

=====

Of them, arrangement w has the lowest stability.

=====

Arrangement w

A plane-wave DFT calculation with GGA-PBEsol was carried out for a relaxed structure of CoI2NF.

a = 5.2468 Å, b = 5.2468 Å, c = 3.3297 Å
α = 90.00°, β = 90.00°, γ = 90.00°
Element x y z (fractional)
1 Co 0.0000 0.0000 0.0000
2 I 0.0000 0.5000 0.0000
3 I 0.5000 0.0000 0.0000
4 N 0.0000 0.0000 0.5000
5 F 0.5000 0.5000 0.5000

* SG: P4/mmm, No. 123
* D(E_F): 1.2394 states/eV per atom

=====

Arrangement x

A plane-wave DFT calculation with GGA-PBEsol was carried out for a relaxed structure of CoI2NF.

a = 5.1908 Å, b = 5.1908 Å, c = 3.6952 Å
α = 90.00°, β = 90.00°, γ = 90.00°
Element x y z (fractional)
1 Co 0.0000 0.0000 0.0000
2 I 0.0000 0.5000 0.5000
3 I 0.5000 0.0000 0.5000
4 N 0.5000 0.5000 0.0000
5 F 0.5000 0.5000 0.5000

* SG: P4/mmm, No. 123
* D(E_F): 1.6246 states/eV per atom

=====

Of them, arrangement x has the lowest stability.

=====

Arrangement w

A plane-wave DFT calculation with GGA-PBEsol was carried out for a relaxed structure of Li3Co3OF7.

a = 5.9223 Å, b = 5.9223 Å, c = 5.9662 Å
α = 119.63°, β = 119.63°, γ = 58.18°
Element x y z (fractional)
1 Li 0.0000 0.0000 0.0000
2 Li 0.0110 0.0110 0.5380
3 Li 0.6304 0.6304 0.8957
4 Co 0.0293 0.4889 0.5301
5 Co 0.3784 0.3784 0.1117
6 Co 0.4889 0.0293 0.5301
7 O 0.2468 0.2468 0.7417
8 F 0.2369 0.7566 0.7571
9 F 0.2414 0.2414 0.2442
10 F 0.2463 0.7828 0.2741
11 F 0.7566 0.2369 0.7571
12 F 0.7590 0.7590 0.3033
13 F 0.7664 0.7664 0.7720
14 F 0.7828 0.2463 0.2741

* SG: Cm, No. 8
* D(E_F): 0.5536 states/eV per atom

=====

Arrangement x

A plane-wave DFT calculation with GGA-PBEsol was carried out for a relaxed structure of Li3Co3OF7.

a = 6.0115 Å, b = 6.0115 Å, c = 6.0115 Å
α = 57.38°, β = 57.38°, γ = 57.38°
Element x y z (fractional)
1 Li 0.0000 0.0000 0.0000
2 Li 0.2565 0.2565 0.2565
3 Li 0.6188 0.6188 0.6188
4 Co 0.0913 0.6487 0.6487
5 Co 0.6487 0.0913 0.6487
6 Co 0.6487 0.6487 0.0913
7 O 0.8764 0.8764 0.8764
8 F 0.3783 0.3783 0.8597
9 F 0.3783 0.8597 0.3783
10 F 0.3919 0.8605 0.8605
11 F 0.3935 0.3935 0.3935
12 F 0.8597 0.3783 0.3783
13 F 0.8605 0.3919 0.8605
14 F 0.8605 0.8605 0.3919

* SG: R3m, No. 160
* D(E_F): 0.1188 states/eV per atom

=====

Of them, arrangement w has the lowest stability.

=====

Arrangement w

A plane-wave DFT calculation with GGA-PBEsol was carried out for a relaxed structure of Li5CoOF5.

a = 3.1019 Å, b = 3.1019 Å, c = 14.7117 Å
α = 90.00°, β = 90.00°, γ = 120.00°
Element x y z (fractional)
1 Li 0.0000 0.0000 0.0000
2 Li 0.0000 0.0000 0.3271
3 Li 0.0000 0.0000 0.6554
4 Li 0.6667 0.3333 0.1637
5 Li 0.6667 0.3333 0.4905
6 Co 0.6667 0.3333 0.8221
7 O 0.0000 0.0000 0.7901
8 F 0.0000 0.0000 0.1269
9 F 0.0000 0.0000 0.4538
10 F 0.6667 0.3333 0.2904
11 F 0.6667 0.3333 0.6173
12 F 0.6667 0.3333 0.9663

* SG: P3m1, No. 156
* D(E_F): 0.1700 states/eV per atom

=====

Arrangement x

A plane-wave DFT calculation with GGA-PBEsol was carried out for a relaxed structure of Li5CoOF5.

a = 2.8223 Å, b = 2.8223 Å, c = 12.4066 Å
α = 90.00°, β = 90.00°, γ = 90.00°
Element x y z (fractional)
1 Li 0.0000 0.0000 0.0000
2 Li 0.0000 0.0000 0.3268
3 Li 0.0000 0.0000 0.6732
4 Li 0.5000 0.5000 0.1607
5 Li 0.5000 0.5000 0.8393
6 Co 0.5000 0.5000 0.5000
7 O 0.0000 0.0000 0.5000
8 F 0.0000 0.0000 0.1617
9 F 0.0000 0.0000 0.8383
10 F 0.5000 0.5000 0.0000
11 F 0.5000 0.5000 0.3215
12 F 0.5000 0.5000 0.6785

* SG: P4/mmm, No. 123
* D(E_F): 0.2194 states/eV per atom

=====

Of them, arrangement w has the lowest stability.